No. 1
A plane-wave DFT calculation with GGA-PBE was carried out for an optimized crystal structure of Pm8Al2Tc.

Unit cell a=5.554 b=7.006 c=9.242 alpha=112.29 beta=107.49 gamma=90.00
Sites, in units of the cell vectors:
Pm  0.000  0.749  0.000
Pm  0.195  0.195  0.390
Pm  0.372  0.608  0.743
Pm  0.372  0.135  0.744
Tc  0.500  0.000  0.000
Pm  0.805  0.805  0.610
Al  0.814  0.314  0.627
Pm  0.000  0.251  0.000
Pm  0.628  0.865  0.256
Pm  0.628  0.392  0.257
Al  0.186  0.686  0.373

Summary:
The density of states at the Fermi level comes out at 10.9 states/eV/f.u. The value obtained for the energy of formation from the pure elements is -0.11 eV per atom. The total moment comes out at 0.0 μB per cell. The theoretical density is 6.9 g/cm³. The raw total energy comes out at -57.0 eV per cell.


No. 2
A plane-wave DFT calculation with GGA-PBE was carried out for an optimized crystal structure of K2MgInPb2.

Unit cell a=6.777 b=6.827 c=10.184 alpha=109.59 beta=109.44 gamma=90.00
Sites, in units of the cell vectors:
Pb  0.149  0.891  0.782
K  0.066  0.326  0.652
Pb  0.851  0.109  0.218
K  0.934  0.674  0.348
Pb  0.634  0.391  0.782
K  0.414  0.174  0.348
Pb  0.366  0.609  0.218
Mg  0.500  0.250  0.000
Mg  0.500  0.750  0.000
In  0.000  0.750  0.000
In  0.000  0.250  0.000
K  0.586  0.826  0.652

Summary:
The density of states at the Fermi level comes out at 1.4 states/eV/f.u. The value obtained for the energy of formation from the pure elements is -0.19 eV per atom. The total moment comes out at 0.0 μB per cell. The theoretical density is 5.1 g/cm³. The raw total energy comes out at -30.1 eV per cell.


No. 3
A plane-wave DFT calculation with GGA-PBE was carried out for an optimized crystal structure of Pm2Sc3Tl4.

Unit cell a=6.806 b=8.708 c=8.896 alpha=90.00 beta=112.49 gamma=90.00
Sites, in units of the cell vectors:
Sc  0.033  0.750  0.566
Pm  0.889  0.418  0.778
Tl  0.210  0.750  0.920
Sc  0.500  0.500  0.000
Sc  0.967  0.250  0.434
Tl  0.710  0.750  0.920
Tl  0.790  0.250  0.080
Tl  0.817  0.044  0.634
Tl  0.317  0.456  0.634
Pm  0.611  0.918  0.222
Sc  0.000  0.000  0.000
Tl  0.183  0.956  0.366
Tl  0.290  0.250  0.080
Pm  0.389  0.082  0.778
Sc  0.467  0.250  0.434
Sc  0.533  0.750  0.566
Tl  0.683  0.544  0.366
Pm  0.111  0.582  0.222

Summary:
The density of states at the Fermi level comes out at 9.8 states/eV/f.u. The value obtained for the energy of formation from the pure elements is -0.25 eV per atom. The total moment comes out at 0.0 μB per cell. The theoretical density is 8.5 g/cm³. The raw total energy comes out at -80.4 eV per cell.


No. 4
A plane-wave DFT calculation with GGA-PBE was carried out for an optimized crystal structure of HoInCoIr.

Unit cell a=4.636 b=4.636 c=4.636 alpha=60.00 beta=60.00 gamma=60.00
Each line ends with the local moment (μB).
Sites, in units of the cell vectors:
Ir  0.750  0.750  0.750  0.00
Co  0.250  0.250  0.250  0.27
In  0.000  0.000  0.000  -0.02
Ho  0.500  0.500  0.500  -0.06

Summary:
The density of states at the Fermi level comes out at 1.2 states/eV/f.u. The value obtained for the energy of formation from the pure elements is -0.33 eV per atom. The total moment comes out at 0.2 μB per cell. The theoretical density is 12.5 g/cm³. The raw total energy comes out at -24.6 eV per cell.


No. 5
A plane-wave DFT calculation with GGA-PBE was carried out for an optimized crystal structure of NbRe3.

Unit cell a=4.465 b=4.465 c=4.465 alpha=60.00 beta=60.00 gamma=60.00
Sites, in units of the cell vectors:
Re  0.750  0.750  0.750
Re  0.000  0.000  0.000
Nb  0.500  0.500  0.500
Re  0.250  0.250  0.250

Summary:
The density of states at the Fermi level comes out at 4.4 states/eV/f.u. The value obtained for the energy of formation from the pure elements is 0.05 eV per atom. The total moment comes out at 0.0 μB per cell. The theoretical density is 17.2 g/cm³. The raw total energy comes out at -47.2 eV per cell.


No. 6
A plane-wave DFT calculation with GGA-PBE was carried out for an optimized crystal structure of TbGePd.

Unit cell a=3.823 b=3.823 c=5.091 alpha=112.05 beta=112.05 gamma=90.00
Sites, in units of the cell vectors:
Pd  0.271  0.271  0.542
Tb  0.625  0.625  0.249
Ge  0.954  0.954  0.909

Summary:
The density of states at the Fermi level comes out at 0.9 states/eV/f.u. The value obtained for the energy of formation from the pure elements is -0.58 eV per atom. The total moment comes out at 0.0 μB per cell. The theoretical density is 8.9 g/cm³. The raw total energy comes out at -16.2 eV per cell.


No. 7
A plane-wave DFT calculation with GGA-PBE was carried out for an optimized crystal structure of Sr2CuGe4Pd3.

Unit cell a=4.389 b=4.389 c=10.424 alpha=90.00 beta=90.00 gamma=90.00
Sites, in units of the cell vectors:
Pd  0.500  0.000  0.870
Cu  0.500  0.500  0.500
Sr  0.000  0.500  0.749
Ge  0.000  0.000  0.000
Ge  0.000  0.500  0.378
Ge  0.500  0.500  0.000
Ge  0.500  0.000  0.622
Sr  0.500  0.000  0.251
Pd  0.000  0.500  0.130
Pd  0.000  0.000  0.500

Summary:
The density of states at the Fermi level comes out at 3.7 states/eV/f.u. The value obtained for the energy of formation from the pure elements is -0.60 eV per atom. The total moment comes out at 0.0 μB per cell. The theoretical density is 7.0 g/cm³. The raw total energy comes out at -47.5 eV per cell.


No. 8
A plane-wave DFT calculation with GGA-PBE was carried out for an optimized crystal structure of NiOsAu.

Unit cell a=6.172 b=6.172 c=6.172 alpha=154.54 beta=154.54 gamma=36.31
Sites, in units of the cell vectors:
Au  0.995  0.995  0.000
Os  0.683  0.683  0.000
Ni  0.323  0.323  0.000

Summary:
The density of states at the Fermi level comes out at 3.3 states/eV/f.u. The value obtained for the energy of formation from the pure elements is 0.35 eV per atom. The total moment comes out at 0.0 μB per cell. The theoretical density is 17.1 g/cm³. The raw total energy comes out at -19.3 eV per cell.